# KMoAsO6 | the Alexandria database | PBE+U | optimized geometry
data_KMoAsO6
_space_group_name_H-M_alt 'P n m a'
_space_group_IT_number 62
_space_group_name_Hall '-P 2ac 2n'
_cell_length_a 10.9372
_cell_length_b 6.7633
_cell_length_c 7.1684
_cell_angle_alpha 90.00
_cell_angle_beta 90.00
_cell_angle_gamma 90.00
loop_
_atom_site_label
_atom_site_fract_x
_atom_site_fract_y
_atom_site_fract_z
_atom_site_occupancy
K1 0.0000 0.0000 0.0000 1
Mo1 0.1611 0.2500 0.4563 1
As1 0.1537 0.7500 0.5471 1
O1 0.0255 0.7500 0.6851 1
O2 0.0906 0.2500 0.6742 1
O3 0.1506 0.5440 0.4026 1
O4 0.1854 0.7500 0.0171 1
O5 0.2067 0.2500 0.1570 1
# final energy: -6.280 eV per atom
# total moment: 0.00 μB/f.u.
# distance to the lowest polymorph of the same formula: 0 meV/atom
# calculated volume: 14.73 Å³/atom